(1)
Below is a relaxed PuB crystal, with properties calculated at the PBE-GGA level.

Values from the calculation:
Symmetry: Fm-3m, No. 225
Total magnetic moment, Bohr magnetons per cell: 20.854
ρ, g cm⁻³: 12.31
ΔE_f, eV/atom: 0.544
Polymorph energy (0 for the lowest one), meV per atom: 693

Unit cell a=5.161 b=5.161 c=5.161 alpha=90.00 beta=90.00 gamma=90.00
Sites, in units of the cell vectors:
Pu1 0.000 0.000 0.000
Pu2 0.000 0.500 0.500
Pu3 0.500 0.000 0.500
Pu4 0.500 0.500 0.000
B1 0.000 0.000 0.500
B2 0.000 0.500 0.000
B3 0.500 0.000 0.000
B4 0.500 0.500 0.500



(2)
Below is a relaxed Rb2PuB2S6 crystal, with properties calculated at the PBE-GGA level.

Values from the calculation:
Symmetry: P-3, No. 147
Total magnetic moment, Bohr magnetons per cell: 3.998
ρ, g cm⁻³: 3.49
Formation energy from raw total energies, meV/atom: -913

Unit cell a=6.898 b=6.898 c=7.267 alpha=90.00 beta=90.00 gamma=120.00
Sites, in units of the cell vectors:
Rb1 0.333 0.667 0.307
Rb2 0.667 0.333 0.693
Pu1 0.000 0.000 0.000
B1 0.333 0.667 0.799
B2 0.667 0.333 0.201
S1 0.181 0.364 0.779
S2 0.183 0.819 0.779
S3 0.364 0.183 0.221
S4 0.636 0.817 0.779
S5 0.817 0.181 0.221
S6 0.819 0.636 0.221



(3)
Below is a relaxed PuReB4 crystal, with properties calculated at the PBE-GGA level.

Values from the calculation:
Symmetry: Pbam, No. 55
Total magnetic moment, Bohr magnetons per cell: 17.678
ρ, g cm⁻³: 12.61
ΔE_f, eV/atom: -0.501
Polymorph energy (0 for the lowest one), meV per atom: 0

Unit cell a=5.989 b=11.595 c=3.591 alpha=90.00 beta=90.00 gamma=90.00
Sites, in units of the cell vectors:
Pu1 0.126 0.150 0.000
Pu2 0.374 0.650 0.000
Pu3 0.626 0.350 0.000
Pu4 0.874 0.850 0.000
Re1 0.135 0.410 0.000
Re2 0.365 0.910 0.000
Re3 0.635 0.090 0.000
Re4 0.865 0.590 0.000
B1 0.025 0.692 0.500
B2 0.114 0.547 0.500
B3 0.135 0.968 0.500
B4 0.212 0.814 0.500
B5 0.288 0.314 0.500
B6 0.365 0.468 0.500
B7 0.386 0.047 0.500
B8 0.475 0.192 0.500
B9 0.525 0.808 0.500
B10 0.614 0.953 0.500
B11 0.635 0.532 0.500
B12 0.712 0.686 0.500
B13 0.788 0.186 0.500
B14 0.865 0.032 0.500
B15 0.886 0.453 0.500
B16 0.975 0.308 0.500



(4)
Below is a relaxed Pu3ReB7 crystal, with properties calculated at the PBE-GGA level.

Values from the calculation:
Symmetry: Cmcm, No. 63
Total magnetic moment, Bohr magnetons per cell: 28.163
ρ, g cm⁻³: 12.81
ΔE_f, eV/atom: -0.412

Unit cell a=8.112 b=8.112 c=9.307 alpha=90.00 beta=90.00 gamma=155.13
Sites, in units of the cell vectors:
Pu1 0.108 0.892 0.565
Pu2 0.108 0.892 0.935
Pu3 0.252 0.748 0.250
Pu4 0.748 0.252 0.750
Pu5 0.892 0.108 0.065
Pu6 0.892 0.108 0.435
Re1 0.056 0.944 0.250
Re2 0.944 0.056 0.750
B1 0.274 0.726 0.532
B2 0.274 0.726 0.968
B3 0.365 0.635 0.651
B4 0.365 0.635 0.849
B5 0.461 0.539 0.250
B6 0.478 0.522 0.593
B7 0.478 0.522 0.907
B8 0.522 0.478 0.093
B9 0.522 0.478 0.407
B10 0.539 0.461 0.750
B11 0.635 0.365 0.151
B12 0.635 0.365 0.349
B13 0.726 0.274 0.032
B14 0.726 0.274 0.468



- total magnetic moment of number 2 (Rb2PuB2S6)?
  3.998 Bohr magnetons per cell